Entry 1:
Material: K2Tl5Pb3
Method: DFT, PBE-GGA
State: relaxed

The value obtained for the energy of formation from the pure elements is -0.0518 eV/atom.

a b c (Å): 7.121 10.700 10.700
angles (deg): 84.52 70.56 70.56
Positions (direct):
Tl (0.006, 0.244, 0.244)
Tl (0.494, 0.756, 0.756)
Tl (0.994, 0.756, 0.756)
Tl (0.750, 0.500, 0.500)
Tl (0.506, 0.244, 0.244)
Tl (0.623, 0.732, 0.023)
Tl (0.123, 0.023, 0.732)
Tl (0.377, 0.268, 0.977)
Tl (0.877, 0.977, 0.268)
Tl (0.250, 0.500, 0.500)
Pb (0.869, 0.767, 0.495)
Pb (0.750, 0.000, 0.000)
Pb (0.131, 0.233, 0.505)
Pb (0.250, 0.000, 0.000)
Pb (0.369, 0.495, 0.767)
Pb (0.631, 0.505, 0.233)
K (0.377, 0.868, 0.378)
K (0.123, 0.622, 0.132)
K (0.623, 0.132, 0.622)
K (0.877, 0.378, 0.868)



Entry 2:
Material: Ta2AgH
Method: DFT, PBE-GGA
State: relaxed

The calculation puts the energy above the lowest structure with this stoichiometry at 6.627 kcal/mol of atoms.

a b c (Å): 4.432 4.432 4.432
angles (deg): 60.00 60.00 60.00
Positions (direct):
Ag (0.500, 0.500, 0.500)
Ta (0.250, 0.250, 0.250)
Ta (0.750, 0.750, 0.750)
H (0.000, 0.000, 0.000)



Result set for DFT total energy: -2.57; -6.58 eV per atom, one per record in the order listed.